No. 1
Below is a relaxed TaMnSiRu crystal, with properties calculated at the PBE-GGA level.

```
data_TaMnSiRu
_cell_length_a 6.008
_cell_length_b 6.008
_cell_length_c 6.008
_cell_angle_alpha 90.00
_cell_angle_beta 90.00
_cell_angle_gamma 90.00
_space_group_name_H-M_alt 'F -4 3 m'
_space_group_IT_number 216
_space_group_name_Hall 'F -4 2 3'
loop_
_atom_site_label
_atom_site_fract_x
_atom_site_fract_y
_atom_site_fract_z
Ta1 0.000 0.000 0.000
Mn1 0.250 0.250 0.750
Si1 0.000 0.000 0.500
Ru1 0.250 0.250 0.250
```

Properties
For the formation energy (no corrections), the calculation gives -495 meV per atom. For the magnetic moment, the calculation gives 0.0 μB/f.u. The density of states at the Fermi level comes out at 3.01 states/eV per cell. The total DFT energy (no corrections) is -150.81 eV/cell.

No. 2
Below is a relaxed TbMnSi2Ru crystal, with properties calculated at the PBE-GGA level.

```
data_TbMnSi2Ru
_cell_length_a 3.999
_cell_length_b 3.999
_cell_length_c 10.259
_cell_angle_alpha 90.00
_cell_angle_beta 90.00
_cell_angle_gamma 90.00
_space_group_name_H-M_alt 'I -4 m 2'
_space_group_IT_number 119
_space_group_name_Hall 'I -4 -2'
loop_
_atom_site_label
_atom_site_fract_x
_atom_site_fract_y
_atom_site_fract_z
Tb1 0.000 0.000 0.000
Mn1 0.000 0.500 0.250
Si1 0.000 0.000 0.380
Ru1 0.000 0.500 0.750
```

Properties
For the formation energy (no corrections), the calculation gives -773 meV per atom. For the magnetic moment, the calculation gives 2.7 μB/f.u. The density of states at the Fermi level comes out at 2.50 states/eV per cell. The total DFT energy (no corrections) is -75.57 eV/cell.

No. 3
Below is a relaxed Th2MnSi2Ru5 crystal, with properties calculated at the PBE-GGA level.

```
data_Th2MnSi2Ru5
_cell_length_a 10.068
_cell_length_b 10.068
_cell_length_c 3.390
_cell_angle_alpha 90.00
_cell_angle_beta 90.00
_cell_angle_gamma 90.00
_space_group_name_H-M_alt 'P 4/m b m'
_space_group_IT_number 127
_space_group_name_Hall '-P 4 2ab'
loop_
_atom_site_label
_atom_site_fract_x
_atom_site_fract_y
_atom_site_fract_z
Th1 0.176 0.324 0.000
Mn1 0.000 0.000 0.000
Si1 0.123 0.623 0.000
Ru1 0.000 0.500 0.500
Ru2 0.068 0.786 0.500
```

Properties
For the formation energy (no corrections), the calculation gives -500 meV per atom. For the magnetic moment, the calculation gives 4.0 μB/f.u. The density of states at the Fermi level comes out at 10.71 states/eV per cell. The total DFT energy (no corrections) is -172.46 eV/cell.

No. 4
Below is a relaxed Tm2MnSi2Ru5 crystal, with properties calculated at the PBE-GGA level.

```
data_Tm2MnSi2Ru5
_cell_length_a 9.884
_cell_length_b 9.884
_cell_length_c 3.215
_cell_angle_alpha 90.00
_cell_angle_beta 90.00
_cell_angle_gamma 90.00
_space_group_name_H-M_alt 'P 4/m b m'
_space_group_IT_number 127
_space_group_name_Hall '-P 4 2ab'
loop_
_atom_site_label
_atom_site_fract_x
_atom_site_fract_y
_atom_site_fract_z
Tm1 0.173 0.327 0.000
Mn1 0.000 0.000 0.000
Si1 0.128 0.628 0.000
Ru1 0.000 0.500 0.500
Ru2 0.067 0.795 0.500
```

Properties
For the formation energy (no corrections), the calculation gives -534 meV per atom. For the magnetic moment, the calculation gives 2.5 μB/f.u. The density of states at the Fermi level comes out at 18.17 states/eV per cell. The total DFT energy (no corrections) is -161.35 eV/cell.